VASP calculation (PBE-GGA) on crystalline ZrNb2Ga2 at its relaxed geometry.

The structure in POSCAR format:
```
ZrNb2Ga2
1.0
7.147 0.000 0.000
0.000 7.147 0.000
0.000 0.000 3.510
Zr Nb Ga
2 4 4
Direct
0.000 0.000 0.000
0.500 0.500 0.000
0.175 0.325 0.500
0.325 0.825 0.500
0.675 0.175 0.500
0.825 0.675 0.500
0.124 0.624 0.000
0.376 0.124 0.000
0.624 0.876 0.000
0.876 0.376 0.000
```

Symmetry = P4/mbm (127)
N(E_F) = 7.203 states/eV/cell
Formation energy = -0.4190 eV per atom
Energy above the most stable polymorph in this dataset = 0 meV/atom
Total magnetization = 0.00 μB/atom

VASP calculation (PBE-GGA) on crystalline SrTi2PtO8 at its relaxed geometry.

The structure in POSCAR format:
```
SrTi2PtO8
1.0
4.902 0.000 0.000
0.932 4.826 0.000
1.068 0.757 6.748
Sr Ti Pt O
1 2 1 8
Direct
0.000 0.000 0.000
0.448 0.460 0.223
0.552 0.540 0.777
0.000 0.000 0.500
0.200 0.308 0.450
0.253 0.806 0.697
0.258 0.810 0.286
0.309 0.363 0.014
0.691 0.637 0.986
0.742 0.190 0.714
0.747 0.194 0.303
0.800 0.692 0.550
```

Symmetry = P-1 (2)
N(E_F) = 4.505 states/eV/cell
Formation energy (no corrections) = -2.012 eV/atom
Total magnetization = 0.00 μB/atom

VASP calculation (PBE-GGA) on crystalline Ca11Pb9Au4 at its relaxed geometry.

The structure in POSCAR format:
```
Ca11Pb9Au4
1.0
7.691 -11.606 0.000
7.691 11.606 0.000
0.000 0.000 3.804
Ca Pb Au
11 9 4
Direct
0.000 0.000 0.000
0.074 0.414 0.000
0.160 0.840 0.000
0.306 0.306 0.000
0.367 0.633 0.000
0.414 0.074 0.000
0.586 0.926 0.000
0.633 0.367 0.000
0.694 0.694 0.000
0.840 0.160 0.000
0.926 0.586 0.000
0.070 0.216 0.500
0.148 0.631 0.500
0.216 0.070 0.500
0.369 0.852 0.500
0.500 0.500 0.500
0.631 0.148 0.500
0.784 0.930 0.500
0.852 0.369 0.500
0.930 0.784 0.500
0.253 0.451 0.500
0.451 0.253 0.500
0.549 0.747 0.500
0.747 0.549 0.500
```

Symmetry = Cmmm (65)
N(E_F) = 9.207 states/eV/cell
Formation energy = -0.6037 eV per atom
Total magnetization = 0.00 μB/atom

VASP calculation (PBE-GGA) on crystalline Ce3Nd2YSe6 at its relaxed geometry.

The structure in POSCAR format:
```
Ce3Nd2YSe6
1.0
3.625 -6.282 0.000
3.625 6.282 0.000
-2.421 0.000 6.874
Ce Nd Y Se
3 2 1 6
Direct
0.000 0.000 0.000
0.330 0.670 0.000
0.670 0.330 0.000
0.166 0.834 0.500
0.834 0.166 0.500
0.500 0.500 0.500
0.092 0.418 0.254
0.258 0.258 0.750
0.418 0.092 0.254
0.582 0.908 0.746
0.742 0.742 0.250
0.908 0.582 0.746
```

Symmetry = C2/m (12)
N(E_F) = 19.768 states/eV/cell
Formation energy (no corrections) = -1.824 eV/atom
Total magnetization = 0.25 μB/atom

VASP calculation (PBE-GGA) on crystalline YBeTl at its relaxed geometry.

The structure in POSCAR format:
```
YBeTl
1.0
5.995 -1.967 0.000
5.995 1.967 0.000
-0.869 0.000 5.438
Y Be Tl
2 2 2
Direct
0.132 0.132 0.333
0.868 0.868 0.667
0.233 0.233 0.869
0.767 0.767 0.131
0.407 0.407 0.196
0.593 0.593 0.804
```

Symmetry = C2/m (12)
N(E_F) = 3.654 states/eV/cell
Formation energy = -0.0911 eV per atom
Energy above the most stable polymorph in this dataset = 28 meV/atom
Total magnetization = 0.00 μB/atom

VASP calculation (PBE-GGA) on crystalline TcPdIN2 at its relaxed geometry.

The structure in POSCAR format:
```
TcPdIN2
1.0
3.928 0.000 0.000
0.000 3.928 0.000
0.000 0.000 7.642
Tc Pd I N
1 1 1 2
Direct
0.000 0.000 0.000
0.500 0.500 0.500
0.500 0.500 0.000
0.000 0.500 0.500
0.500 0.000 0.500
```

Symmetry = P4/mmm (123)
N(E_F) = 2.895 states/eV/cell
Formation energy (no corrections) = 1.907 eV/atom
Energy above the most stable polymorph in this dataset = 1213 meV/atom
Total magnetization = 1.29 μB/atom

VASP calculation (PBE-GGA) on crystalline YIn4Ir at its relaxed geometry.

The structure in POSCAR format:
```
YIn4Ir
1.0
0.000 4.130 4.130
4.130 0.000 4.130
4.130 4.130 0.000
Y In Ir
1 4 1
Direct
0.000 0.000 0.000
0.126 0.625 0.625
0.625 0.126 0.625
0.625 0.625 0.126
0.625 0.625 0.625
0.250 0.250 0.250
```

Symmetry = F-43m (216)
N(E_F) = 6.035 states/eV/cell
Formation energy = 0.2769 eV per atom
Total magnetization = 0.00 μB/atom

VASP calculation (PBE-GGA) on crystalline BePIrCl2 at its relaxed geometry.

The structure in POSCAR format:
```
BePIrCl2
1.0
3.848 0.000 0.000
0.000 3.848 0.000
0.000 0.000 8.710
Be P Ir Cl
1 1 1 2
Direct
0.000 0.000 0.000
0.000 0.000 0.500
0.500 0.500 0.500
0.000 0.500 0.000
0.500 0.000 0.000
```

Symmetry = P4/mmm (123)
N(E_F) = 5.554 states/eV/cell
Formation energy (no corrections) = 0.539 eV/atom
Energy above the most stable polymorph in this dataset = 0 meV/atom
Total magnetization = 0.02 μB/atom

VASP calculation (PBE-GGA) on crystalline YCd2 at its relaxed geometry.

The structure in POSCAR format:
```
YCd2
1.0
1.943 -7.334 0.000
1.943 7.334 0.000
0.000 0.000 5.244
Y Cd
2 4
Direct
0.097 0.903 0.750
0.903 0.097 0.250
0.233 0.767 0.250
0.425 0.575 0.750
0.575 0.425 0.250
0.767 0.233 0.750
```

Symmetry = Cmcm (63)
N(E_F) = 1.861 states/eV/cell
Formation energy = -0.2622 eV per atom
Total magnetization = 0.00 μB/atom

VASP calculation (PBE-GGA) on crystalline PRuSeN at its relaxed geometry.

The structure in POSCAR format:
```
PRuSeN
1.0
3.390 -1.522 0.000
3.390 1.522 0.000
-1.790 0.000 5.873
P Ru Se N
1 1 1 1
Direct
0.000 0.000 0.000
0.342 0.342 0.207
0.756 0.756 0.485
0.985 0.985 0.733
```

Symmetry = Cm (8)
N(E_F) = 0.039 states/eV/cell
Formation energy (no corrections) = 0.152 eV/atom
Energy above the most stable polymorph in this dataset = 228 meV/atom
Total magnetization = 0.00 μB/atom

VASP calculation (PBE-GGA) on crystalline Al2InAg at its relaxed geometry.

The structure in POSCAR format:
```
Al2InAg
1.0
2.901 0.000 0.000
0.000 5.155 0.000
0.000 0.000 5.328
Al In Ag
2 1 1
Direct
0.000 0.000 0.000
0.500 0.500 0.000
0.000 0.500 0.500
0.500 0.000 0.500
```

Symmetry = Pmmm (47)
N(E_F) = 1.410 states/eV/cell
Formation energy = 0.1535 eV per atom
Total magnetization = 0.00 μB/atom

VASP calculation (PBE-GGA) on crystalline KOs2 at its relaxed geometry.

The structure in POSCAR format:
```
KOs2
1.0
7.573 0.000 0.000
0.000 7.573 0.000
0.000 0.000 7.573
K Os
4 8
Direct
0.000 0.000 0.000
0.000 0.500 0.500
0.500 0.000 0.500
0.500 0.500 0.000
0.084 0.584 0.916
0.084 0.916 0.416
0.416 0.084 0.916
0.416 0.416 0.416
0.584 0.584 0.584
0.584 0.916 0.084
0.916 0.084 0.584
0.916 0.416 0.084
```

Symmetry = Pa-3 (205)
N(E_F) = 23.200 states/eV/cell
Formation energy = 3.1599 eV per atom
Energy above the most stable polymorph in this dataset = 2384 meV/atom
Total magnetization = 1.50 μB/atom